Entry 1
Below is KC3Cl after structural relaxation, with properties calculated at the PBE-GGA level.

Calculated values
**Density of states at the Fermi level**: 6.7 states/eV per cell

Unit cell a=5.5124 b=5.5124 c=5.5124 alpha=90.00 beta=90.00 gamma=90.00
Space group Pm-3m (No. 221)
Symmetry-distinct sites (fractional):
1 K 0.0000 0.0000 0.0000 x1
2 C 0.0000 0.0000 0.5000 x3
3 Cl 0.5000 0.5000 0.5000 x1



Entry 2
Below is KC3Cl after structural relaxation, with properties calculated at the PBE-GGA level.

Calculated values
**Density of states at the Fermi level**: 3.1 states/eV per cell

Unit cell a=4.2606 b=4.2606 c=4.2606 alpha=90.00 beta=90.00 gamma=90.00
Space group Pm-3m (No. 221)
Symmetry-distinct sites (fractional):
1 K 0.0000 0.0000 0.0000 x1
2 C 0.0000 0.5000 0.5000 x3
3 Cl 0.5000 0.5000 0.5000 x1



What is the stability order? It is entry 2, entry 1, from most stable to least stable.



Entry 1
Below is KP2CCl after structural relaxation, with properties calculated at the PBE-GGA level.

Calculated values
**Density of states at the Fermi level**: 2.9 states/eV per cell

Unit cell a=3.9298 b=3.9298 c=8.6142 alpha=90.00 beta=90.00 gamma=90.00
Space group P4/mmm (No. 123)
Symmetry-distinct sites (fractional):
1 K 0.0000 0.0000 0.0000 x1
2 P 0.0000 0.5000 0.5000 x2
3 C 0.5000 0.5000 0.5000 x1
4 Cl 0.5000 0.5000 0.0000 x1



Entry 2
Below is KP2CCl after structural relaxation, with properties calculated at the PBE-GGA level.

Calculated values
**Density of states at the Fermi level**: 15.4 states/eV per cell

Unit cell a=7.4995 b=7.4995 c=5.7445 alpha=90.00 beta=90.00 gamma=90.00
Space group P4/mmm (No. 123)
Symmetry-distinct sites (fractional):
1 K 0.0000 0.0000 0.0000 x1
2 P 0.0000 0.5000 0.0000 x2
3 C 0.5000 0.5000 0.5000 x1
4 Cl 0.0000 0.0000 0.5000 x1



What is the stability order? It is entry 1, entry 2, from most stable to least stable.



Entry 1
Below is KPCCl2 after structural relaxation, with properties calculated at the PBE-GGA level.

Calculated values
**Density of states at the Fermi level**: 4.0 states/eV per cell

Unit cell a=5.6356 b=5.6356 c=3.5030 alpha=90.00 beta=90.00 gamma=90.00
Space group P4/mmm (No. 123)
Symmetry-distinct sites (fractional):
1 K 0.0000 0.0000 0.0000 x1
2 P 0.5000 0.5000 0.0000 x1
3 C 0.5000 0.5000 0.5000 x1
4 Cl 0.0000 0.5000 0.5000 x2



Entry 2
Below is KPCCl2 after structural relaxation, with properties calculated at the PBE-GGA level.

Calculated values
**Density of states at the Fermi level**: 15.8 states/eV per cell

Unit cell a=5.9342 b=5.9342 c=6.7201 alpha=90.00 beta=90.00 gamma=90.00
Space group P4/mmm (No. 123)
Symmetry-distinct sites (fractional):
1 K 0.0000 0.0000 0.0000 x1
2 P 0.0000 0.0000 0.5000 x1
3 C 0.5000 0.5000 0.5000 x1
4 Cl 0.0000 0.5000 0.0000 x2



What is the stability order? It is entry 1, entry 2, from most stable to least stable.



Entry 1
Below is LaCCl3 after structural relaxation, with properties calculated at the PBE-GGA level.

Calculated values
**Density of states at the Fermi level**: 24.3 states/eV per cell

Unit cell a=5.5807 b=5.5807 c=5.5807 alpha=90.00 beta=90.00 gamma=90.00
Space group Pm-3m (No. 221)
Symmetry-distinct sites (fractional):
1 La 0.0000 0.0000 0.0000 x1
2 C 0.5000 0.5000 0.5000 x1
3 Cl 0.0000 0.0000 0.5000 x3



Entry 2
Below is LaCCl3 after structural relaxation, with properties calculated at the PBE-GGA level.

Calculated values
**Density of states at the Fermi level**: 3.9 states/eV per cell

Unit cell a=4.6133 b=4.6133 c=4.6133 alpha=90.00 beta=90.00 gamma=90.00
Space group Pm-3m (No. 221)
Symmetry-distinct sites (fractional):
1 La 0.0000 0.0000 0.0000 x1
2 C 0.5000 0.5000 0.5000 x1
3 Cl 0.0000 0.5000 0.5000 x3



What is the stability order? It is entry 1, entry 2, from most stable to least stable.